Entry from the Alexandria database: a relaxed structure of CsTaIN2 (PBE).

Geometry as POSCAR:
```
CsTaIN2
1.0
4.367 0.000 0.000
0.000 4.367 0.000
0.000 0.000 6.428
Cs Ta I N
1 1 1 2
Direct
0.000 0.000 0.000 Cs
0.500 0.500 0.500 Ta
0.000 0.000 0.500 I
0.000 0.500 0.000 N
0.500 0.000 0.000 N
```

E above lowest polymorph = 2658 meV per atom
crystal system = tetragonal
symmetry = P4/mmm, No. 123



Entry from the Alexandria database: a relaxed structure of CsTcI2N (PBE).

Geometry as POSCAR:
```
CsTcI2N
1.0
6.051 0.000 0.000
0.000 6.051 0.000
0.000 0.000 3.864
Cs Tc I N
1 1 2 1
Direct
0.000 0.000 0.000 Cs
0.500 0.500 0.500 Tc
0.000 0.500 0.500 I
0.500 0.000 0.500 I
0.500 0.500 0.000 N
```

crystal system = tetragonal
symmetry = P4/mmm, No. 123



Entry from the Alexandria database: a relaxed structure of CsTeIN2 (PBE).

Geometry as POSCAR:
```
CsTeIN2
1.0
4.680 0.000 0.000
0.000 4.680 0.000
0.000 0.000 6.515
Cs Te I N
1 1 1 2
Direct
0.000 0.000 0.000 Cs
0.500 0.500 0.500 Te
0.500 0.500 0.000 I
0.000 0.500 0.500 N
0.500 0.000 0.500 N
```

E above lowest polymorph = 0 meV per atom
crystal system = tetragonal
symmetry = P4/mmm, No. 123



Entry from the Alexandria database: a relaxed structure of CsTeIN2 (PBE).

Geometry as POSCAR:
```
CsTeIN2
1.0
4.991 0.000 0.000
0.000 4.991 0.000
0.000 0.000 7.658
Cs Te I N
1 1 1 2
Direct
0.000 0.000 0.000 Cs
0.500 0.500 0.500 Te
0.000 0.000 0.500 I
0.000 0.500 0.000 N
0.500 0.000 0.000 N
```

E above lowest polymorph = 953 meV per atom
crystal system = tetragonal
symmetry = P4/mmm, No. 123



Entry from the Alexandria database: a relaxed structure of CsTeIN2 (PBE).

Geometry as POSCAR:
```
CsTeIN2
1.0
4.981 0.000 0.000
0.000 4.981 0.000
0.000 0.000 6.105
Cs Te I N
1 1 1 2
Direct
0.000 0.000 0.000 Cs
0.500 0.500 0.000 Te
0.500 0.500 0.500 I
0.000 0.500 0.500 N
0.500 0.000 0.500 N
```

E above lowest polymorph = 491 meV per atom
crystal system = tetragonal
symmetry = P4/mmm, No. 123



Entry from the Alexandria database: a relaxed structure of CsTiI2N (PBE).

Geometry as POSCAR:
```
CsTiI2N
1.0
6.177 0.000 0.000
0.000 6.177 0.000
0.000 0.000 3.883
Cs Ti I N
1 1 2 1
Direct
0.000 0.000 0.000 Cs
0.500 0.500 0.500 Ti
0.000 0.500 0.500 I
0.500 0.000 0.500 I
0.500 0.500 0.000 N
```

E above lowest polymorph = 0 meV per atom
crystal system = tetragonal
symmetry = P4/mmm, No. 123



Entry from the Alexandria database: a relaxed structure of CsTiI2N (PBE).

Geometry as POSCAR:
```
CsTiI2N
1.0
6.855 0.000 0.000
0.000 6.855 0.000
0.000 0.000 4.655
Cs Ti I N
1 1 2 1
Direct
0.000 0.000 0.000 Cs
0.500 0.500 0.500 Ti
0.000 0.500 0.000 I
0.500 0.000 0.000 I
0.000 0.000 0.500 N
```

E above lowest polymorph = 1959 meV per atom
crystal system = tetragonal
symmetry = P4/mmm, No. 123



Entry from the Alexandria database: a relaxed structure of CsTiIN2 (PBE).

Geometry as POSCAR:
```
CsTiIN2
1.0
4.408 0.000 0.000
0.000 4.408 0.000
0.000 0.000 5.730
Cs Ti I N
1 1 1 2
Direct
0.000 0.000 0.000 Cs
0.500 0.500 0.500 Ti
0.500 0.500 0.000 I
0.000 0.500 0.500 N
0.500 0.000 0.500 N
```

E above lowest polymorph = 0 meV per atom
crystal system = tetragonal
symmetry = P4/mmm, No. 123



Entry from the Alexandria database: a relaxed structure of CsTiIN2 (PBE).

Geometry as POSCAR:
```
CsTiIN2
1.0
4.447 0.000 0.000
0.000 4.447 0.000
0.000 0.000 6.610
Cs Ti I N
1 1 1 2
Direct
0.000 0.000 0.000 Cs
0.500 0.500 0.500 Ti
0.000 0.000 0.500 I
0.000 0.500 0.000 N
0.500 0.000 0.000 N
```

E above lowest polymorph = 1885 meV per atom
crystal system = tetragonal
symmetry = P4/mmm, No. 123



Entry from the Alexandria database: a relaxed structure of Cs2TiI6N (PBE).

Geometry as POSCAR:
```
Cs2TiI6N
1.0
-4.220 4.220 5.989
4.220 -4.220 5.989
4.220 4.220 -5.989
Cs Ti I N
2 1 6 1
Direct
0.250 0.750 0.500 Cs
0.750 0.250 0.500 Cs
0.000 0.000 0.000 Ti
0.232 0.232 0.000 I
0.233 0.233 0.465 I
0.233 0.767 0.000 I
0.767 0.233 0.000 I
0.767 0.767 0.535 I
0.768 0.768 0.000 I
0.500 0.500 0.000 N
```

crystal system = tetragonal
symmetry = I4/mmm, No. 139



Entry from the Alexandria database: a relaxed structure of Cs2TlI6N (PBE).

Geometry as POSCAR:
```
Cs2TlI6N
1.0
-4.148 4.148 5.828
4.148 -4.148 5.828
4.148 4.148 -5.828
Cs Tl I N
2 1 6 1
Direct
0.250 0.750 0.500 Cs
0.750 0.250 0.500 Cs
0.000 0.000 0.000 Tl
0.270 0.270 0.000 I
0.277 0.277 0.554 I
0.277 0.723 0.000 I
0.723 0.277 0.000 I
0.723 0.723 0.446 I
0.730 0.730 0.000 I
0.500 0.500 0.000 N
```

crystal system = tetragonal
symmetry = I4/mmm, No. 139



Entry from the Alexandria database: a relaxed structure of CsTlIN2 (PBE).

Geometry as POSCAR:
```
CsTlIN2
1.0
5.022 0.000 0.000
0.000 5.022 0.000
0.000 0.000 6.523
Cs Tl I N
1 1 1 2
Direct
0.000 0.000 0.000 Cs
0.500 0.500 0.500 Tl
0.500 0.500 0.000 I
0.000 0.500 0.500 N
0.500 0.000 0.500 N
```

E above lowest polymorph = 0 meV per atom
crystal system = tetragonal
symmetry = P4/mmm, No. 123



Entry from the Alexandria database: a relaxed structure of CsTlIN2 (PBE).

Geometry as POSCAR:
```
CsTlIN2
1.0
4.927 0.000 0.000
0.000 4.927 0.000
0.000 0.000 7.406
Cs Tl I N
1 1 1 2
Direct
0.000 0.000 0.000 Cs
0.500 0.500 0.500 Tl
0.000 0.000 0.500 I
0.000 0.500 0.000 N
0.500 0.000 0.000 N
```

E above lowest polymorph = 539 meV per atom
crystal system = tetragonal
symmetry = P4/mmm, No. 123



Entry from the Alexandria database: a relaxed structure of CsTlI2N (PBE).

Geometry as POSCAR:
```
CsTlI2N
1.0
6.558 0.000 0.000
0.000 6.558 0.000
0.000 0.000 4.602
Cs Tl I N
1 1 2 1
Direct
0.000 0.000 0.000 Cs
0.500 0.500 0.500 Tl
0.000 0.500 0.500 I
0.500 0.000 0.500 I
0.500 0.500 0.000 N
```

E above lowest polymorph = 0 meV per atom
crystal system = tetragonal
symmetry = P4/mmm, No. 123



Entry from the Alexandria database: a relaxed structure of CsTlI2N (PBE).

Geometry as POSCAR:
```
CsTlI2N
1.0
7.082 0.000 0.000
0.000 7.082 0.000
0.000 0.000 4.809
Cs Tl I N
1 1 2 1
Direct
0.000 0.000 0.000 Cs
0.500 0.500 0.500 Tl
0.000 0.500 0.000 I
0.500 0.000 0.000 I
0.000 0.000 0.500 N
```

E above lowest polymorph = 539 meV per atom
crystal system = tetragonal
symmetry = P4/mmm, No. 123



Entry from the Alexandria database: a relaxed structure of Cs2VI6N (PBE).

Geometry as POSCAR:
```
Cs2VI6N
1.0
-4.157 4.157 5.894
4.157 -4.157 5.894
4.157 4.157 -5.894
Cs V I N
2 1 6 1
Direct
0.250 0.750 0.500 Cs
0.750 0.250 0.500 Cs
0.000 0.000 0.000 V
0.233 0.233 0.000 I
0.234 0.234 0.468 I
0.234 0.766 0.000 I
0.766 0.234 0.000 I
0.766 0.766 0.532 I
0.767 0.767 0.000 I
0.500 0.500 0.000 N
```

crystal system = tetragonal
symmetry = I4/mmm, No. 139



Entry from the Alexandria database: a relaxed structure of CsYI2N (PBE).

Geometry as POSCAR:
```
CsYI2N
1.0
6.719 0.000 0.000
0.000 6.719 0.000
0.000 0.000 4.380
Cs Y I N
1 1 2 1
Direct
0.000 0.000 0.000 Cs
0.500 0.500 0.500 Y
0.000 0.500 0.000 I
0.500 0.000 0.000 I
0.000 0.000 0.500 N
```

crystal system = tetragonal
symmetry = P4/mmm, No. 123



Entry from the Alexandria database: a relaxed structure of Cs2YI6N (PBE).

Geometry as POSCAR:
```
Cs2YI6N
1.0
-3.932 3.932 6.814
3.932 -3.932 6.814
3.932 3.932 -6.814
Cs Y I N
2 1 6 1
Direct
0.250 0.750 0.500 Cs
0.750 0.250 0.500 Cs
0.000 0.000 0.000 Y
0.221 0.221 0.000 I
0.275 0.275 0.551 I
0.275 0.725 0.000 I
0.725 0.275 0.000 I
0.725 0.725 0.449 I
0.779 0.779 0.000 I
0.500 0.500 0.000 N
```

crystal system = tetragonal
symmetry = I4/mmm, No. 139



Entry from the Alexandria database: a relaxed structure of Cs2YIN (PBE).

Geometry as POSCAR:
```
Cs2YIN
1.0
5.175 0.000 0.000
0.000 5.175 0.000
0.000 0.000 8.391
Cs Y I N
2 1 1 1
Direct
0.000 0.500 0.000 Cs
0.500 0.000 0.000 Cs
0.000 0.000 0.500 Y
0.500 0.500 0.500 I
0.500 0.500 0.000 N
```

crystal system = tetragonal
symmetry = P4/mmm, No. 123



Entry from the Alexandria database: a relaxed structure of CsZnI2N (PBE).

Geometry as POSCAR:
```
CsZnI2N
1.0
7.150 0.000 0.000
0.000 7.150 0.000
0.000 0.000 4.874
Cs Zn I N
1 1 2 1
Direct
0.000 0.000 0.000 Cs
0.500 0.500 0.500 Zn
0.000 0.500 0.000 I
0.500 0.000 0.000 I
0.000 0.000 0.500 N
```

E above lowest polymorph = 1096 meV per atom
crystal system = tetragonal
symmetry = P4/mmm, No. 123



Entry from the Alexandria database: a relaxed structure of CsZnI2N (PBE).

Geometry as POSCAR:
```
CsZnI2N
1.0
6.447 0.000 0.000
0.000 6.447 0.000
0.000 0.000 3.923
Cs Zn I N
1 1 2 1
Direct
0.000 0.000 0.000 Cs
0.500 0.500 0.500 Zn
0.000 0.500 0.500 I
0.500 0.000 0.500 I
0.500 0.500 0.000 N
```

E above lowest polymorph = 0 meV per atom
crystal system = tetragonal
symmetry = P4/mmm, No. 123



Entry from the Alexandria database: a relaxed structure of CsZnIN2 (PBE).

Geometry as POSCAR:
```
CsZnIN2
1.0
4.549 0.000 0.000
0.000 4.549 0.000
0.000 0.000 7.894
Cs Zn I N
1 1 1 2
Direct
0.000 0.000 0.000 Cs
0.500 0.500 0.500 Zn
0.000 0.000 0.500 I
0.000 0.500 0.000 N
0.500 0.000 0.000 N
```

E above lowest polymorph = 851 meV per atom
crystal system = tetragonal
symmetry = P4/mmm, No. 123



Entry from the Alexandria database: a relaxed structure of CsZnIN2 (PBE).

Geometry as POSCAR:
```
CsZnIN2
1.0
4.608 0.000 0.000
0.000 4.608 0.000
0.000 0.000 5.402
Cs Zn I N
1 1 1 2
Direct
0.000 0.000 0.000 Cs
0.500 0.500 0.500 Zn
0.500 0.500 0.000 I
0.000 0.500 0.500 N
0.500 0.000 0.500 N
```

E above lowest polymorph = 0 meV per atom
crystal system = tetragonal
symmetry = P4/mmm, No. 123



Entry from the Alexandria database: a relaxed structure of CsZrI2N (PBE).

Geometry as POSCAR:
```
CsZrI2N
1.0
6.753 0.000 0.000
0.000 6.753 0.000
0.000 0.000 4.567
Cs Zr I N
1 1 2 1
Direct
0.000 0.000 0.000 Cs
0.500 0.500 0.500 Zr
0.000 0.500 0.000 I
0.500 0.000 0.000 I
0.000 0.000 0.500 N
```

E above lowest polymorph = 2133 meV per atom
crystal system = tetragonal
symmetry = P4/mmm, No. 123



Entry from the Alexandria database: a relaxed structure of CsZrI2N (PBE).

Geometry as POSCAR:
```
CsZrI2N
1.0
6.253 0.000 0.000
0.000 6.253 0.000
0.000 0.000 4.131
Cs Zr I N
1 1 2 1
Direct
0.000 0.000 0.000 Cs
0.500 0.500 0.500 Zr
0.000 0.500 0.500 I
0.500 0.000 0.500 I
0.500 0.500 0.000 N
```

E above lowest polymorph = 0 meV per atom
crystal system = tetragonal
symmetry = P4/mmm, No. 123



Entry from the Alexandria database: a relaxed structure of Cs2ZrI6N (PBE).

Geometry as POSCAR:
```
Cs2ZrI6N
1.0
0.000 6.098 6.098
6.098 0.000 6.098
6.098 6.098 0.000
Cs Zr I N
2 1 6 1
Direct
0.250 0.250 0.250 Cs
0.750 0.750 0.750 Cs
0.000 0.000 0.000 Zr
0.237 0.237 0.763 I
0.237 0.763 0.237 I
0.237 0.763 0.763 I
0.763 0.237 0.237 I
0.763 0.237 0.763 I
0.763 0.763 0.237 I
0.500 0.500 0.500 N
```

crystal system = cubic
symmetry = Fm-3m, No. 225



Entry from the Alexandria database: a relaxed structure of CsNaI (PBE).

Geometry as POSCAR:
```
CsNaI
1.0
8.703 -2.592 0.000
8.703 2.592 0.000
-3.029 0.000 7.764
Cs Na I
2 2 2
Direct
0.000 0.000 0.000 Cs
0.664 0.664 0.602 Cs
0.305 0.305 0.169 Na
0.935 0.935 0.454 Na
0.328 0.328 0.813 I
0.683 0.683 0.128 I
```

E above lowest polymorph = 64 meV per atom
crystal system = monoclinic
symmetry = Cm, No. 8



no.,total magnetic moment (μB per atom),DOS at the Fermi energy (states/eV/cell),formation energy (no corrections) (kJ/mol of formula units)
1,0.00,6.57,1418
2,0.19,4.12,-61
3,0.42,3.14,517
4,1.00,4.15,977
5,0.68,3.94,754
6,0.00,1.43,-313
7,0.25,6.19,632
8,0.00,3.66,203
9,0.00,8.72,1113
10,0.30,0.00,-474
11,0.00,0.03,-284
12,0.70,2.58,529
13,0.65,3.56,789
14,0.35,1.43,22
15,0.46,4.08,283
16,0.40,10.65,-288
17,0.13,3.36,393
18,0.00,0.00,-618
19,0.00,4.47,360
20,0.56,7.90,505
21,0.40,1.85,-24
22,0.43,2.49,970
23,0.80,1.02,559
24,0.25,6.26,659
25,0.00,1.52,-370
26,0.30,0.00,-584
27,0.00,0.55,-250